Compound: TlPPd3
Source: Alexandria via LeMat-Bulk
Functional: PBE
Structure: optimized geometry

Cell: 4.9990 4.9990 4.9990 Å, 90.00 90.00 90.00°
Last column: nearest neighbours and their distance in Å.
Atoms (fractional coordinates):
Tl 0.0000 0.0000 0.0000  6 Pd 2.50
P 0.5000 0.5000 0.5000  12 Pd 3.53
Pd 0.0000 0.0000 0.5000  2 Tl 2.50
Pd 0.0000 0.5000 0.0000  2 Tl 2.50
Pd 0.5000 0.0000 0.0000  2 Tl 2.50

Properties
* DOS at the Fermi energy: 3.29 states/eV/cell
* DFT formation energy: 564 kJ/mol of formula units
* E above lowest polymorph: 1.394 eV/atom

=====

Compound: Pm3Sc4Sn4
Source: Alexandria via LeMat-Bulk
Functional: PBE
Structure: optimized geometry

Cell: 16.1673 16.1673 16.1673 Å, 166.24 162.69 22.18°
Last column: nearest neighbours and their distance in Å.
Atoms (fractional coordinates):
Pm 0.0000 0.0000 0.0000  8 Sn 3.47, 4 Sc 3.57, 2 Pm 3.87
Pm 0.3551 0.8551 0.5000  6 Sn 3.37-3.63, 6 Sc 3.50-3.59
Pm 0.6449 0.1449 0.5000  6 Sn 3.37-3.63, 6 Sc 3.50-3.59
Sc 0.0945 0.5945 0.5000  3 Sn 2.84-2.89
Sc 0.2598 0.2598 0.0000  4 Sn 2.98-3.05, 4 Sc 3.17
Sc 0.7402 0.7402 0.0000  4 Sn 2.98-3.05, 4 Sc 3.17
Sc 0.9055 0.4055 0.5000  3 Sn 2.84-2.89
Sn 0.1857 0.6857 0.5000  5 Sc 2.89-3.05
Sn 0.4518 0.4518 0.0000  2 Sc 2.84, 1 Sn 3.06
Sn 0.5482 0.5482 0.0000  2 Sc 2.84, 1 Sn 3.06
Sn 0.8143 0.3143 0.5000  5 Sc 2.89-3.05

Properties
* DOS at the Fermi energy: 13.84 states/eV/cell
* DFT formation energy: -509 kJ/mol of formula units

=====

Compound: ScBiS2
Source: Alexandria via LeMat-Bulk
Functional: PBE
Structure: optimized geometry

Cell: 14.6318 14.6318 3.7336 Å, 90.00 90.00 166.46°
Last column: nearest neighbours and their distance in Å.
Atoms (fractional coordinates):
Sc 0.1903 0.8097 0.7500  7 S 2.59-2.76
Sc 0.8097 0.1903 0.2500  7 S 2.59-2.76
Bi 0.4483 0.5517 0.7500  2 S 2.80
Bi 0.5517 0.4483 0.2500  2 S 2.80
S 0.2853 0.7147 0.7500  5 Sc 2.64-2.76
S 0.3764 0.6236 0.2500  2 Sc 2.59, 2 Bi 2.80
S 0.6236 0.3764 0.7500  2 Sc 2.59, 2 Bi 2.80
S 0.7147 0.2853 0.2500  5 Sc 2.64-2.76

Properties
* DOS at the Fermi energy: 2.50 states/eV/cell

=====

Compound: Ce2UAl
Source: Alexandria via LeMat-Bulk
Functional: PBE
Structure: optimized geometry

Cell: 4.6433 4.6433 4.4493 Å, 90.00 90.00 90.00°
Last column: nearest neighbours and their distance in Å.
Atoms (fractional coordinates):
Ce 0.0000 0.5000 0.0000  4 U 3.22, 4 Al 3.22, 4 Ce 3.28
Ce 0.5000 0.0000 0.0000  4 U 3.22, 4 Al 3.22, 4 Ce 3.28
U 0.0000 0.0000 0.5000  8 Ce 3.22, 4 Al 3.28
Al 0.5000 0.5000 0.5000  8 Ce 3.22, 4 U 3.28

Properties
* DOS at the Fermi energy: 11.39 states/eV/cell
* DFT formation energy: 18 kJ/mol of formula units
* E above lowest polymorph: 0.000 eV/atom

=====

Compound: TaTl2Cl
Source: Alexandria via LeMat-Bulk
Functional: PBE
Structure: optimized geometry

Cell: 5.4311 5.4311 3.1073 Å, 90.00 90.00 100.82°
Last column: nearest neighbours and their distance in Å.
Atoms (fractional coordinates):
Ta 0.0000 0.0000 0.0000  2 Ta 3.11, 8 Tl 3.13, 2 Cl 3.46
Tl 0.0000 0.5000 0.5000  4 Tl 3.11-3.46, 4 Ta 3.13, 4 Cl 3.13
Tl 0.5000 0.0000 0.5000  4 Tl 3.11-3.46, 4 Ta 3.13, 4 Cl 3.13
Cl 0.5000 0.5000 0.0000  2 Cl 3.11, 8 Tl 3.13, 2 Ta 3.46

Properties
* DOS at the Fermi energy: 2.63 states/eV/cell
* E above lowest polymorph: 0.368 eV/atom

=====

Compound: BeTlSb2I
Source: Alexandria via LeMat-Bulk
Functional: PBE
Structure: optimized geometry

Cell: 5.7905 5.7905 6.2282 Å, 90.00 90.00 90.00°
Last column: nearest neighbours and their distance in Å.
Atoms (fractional coordinates):
Be 0.0000 0.0000 0.0000  4 I 4.09, 8 Sb 4.25
Tl 0.5000 0.5000 0.5000  4 Sb 2.90, 2 I 3.11
Sb 0.0000 0.5000 0.5000  2 Tl 2.90
Sb 0.5000 0.0000 0.5000  2 Tl 2.90
I 0.5000 0.5000 0.0000  2 Tl 3.11

Properties
* DOS at the Fermi energy: 4.54 states/eV/cell
* E above lowest polymorph: 0.970 eV/atom

=====

| no. | raw total energy (eV per atom) |
| --- | --- |
| 1 | -3.50 |
| 2 | -5.53 |
| 3 | -5.71 |
| 4 | -6.68 |
| 5 | -4.33 |
| 6 | -1.94 |